# ZrNbCuSn PBE relaxed
data_ZrNbCuSn
_chemical_formula_sum 'Zr4 Nb4 Cu4 Sn4'
_symmetry_space_group_name_H-M 'F -4 3 m'
_symmetry_Int_Tables_number 216
_symmetry_space_group_name_Hall 'F -4 2 3'
_cell_length_a 6.711
_cell_length_b 6.711
_cell_length_c 6.711
_cell_angle_alpha 90.00
_cell_angle_beta 90.00
_cell_angle_gamma 90.00
loop_
_atom_site_label
_atom_site_fract_x
_atom_site_fract_y
_atom_site_fract_z
Zr1 0.000 0.000 0.000
Nb1 0.250 0.250 0.250
Cu1 0.250 0.250 0.750
Sn1 0.000 0.000 0.500
# Energy above the most stable polymorph in this dataset ... 0 meV per atom
# Total energy ... -6.397 eV per atom

***

# HfAs2Pt PBE relaxed
data_HfAs2Pt
_chemical_formula_sum 'Hf4 As8 Pt4'
_symmetry_space_group_name_H-M 'F -4 3 m'
_symmetry_Int_Tables_number 216
_symmetry_space_group_name_Hall 'F -4 2 3'
_cell_length_a 6.626
_cell_length_b 6.626
_cell_length_c 6.626
_cell_angle_alpha 90.00
_cell_angle_beta 90.00
_cell_angle_gamma 90.00
loop_
_atom_site_label
_atom_site_fract_x
_atom_site_fract_y
_atom_site_fract_z
Hf1 0.000 0.000 0.000
As1 0.000 0.000 0.500
As2 0.250 0.250 0.250
Pt1 0.250 0.250 0.750
# Total energy ... -6.577 eV per atom

***

# Ag2Bi2O5 PBE relaxed
data_Ag2Bi2O5
_chemical_formula_sum 'Ag2 Bi2 O5'
_symmetry_space_group_name_H-M 'P 4/m m m'
_symmetry_Int_Tables_number 123
_symmetry_space_group_name_Hall '-P 4 2'
_cell_length_a 4.255
_cell_length_b 4.255
_cell_length_c 7.865
_cell_angle_alpha 90.00
_cell_angle_beta 90.00
_cell_angle_gamma 90.00
loop_
_atom_site_label
_atom_site_fract_x
_atom_site_fract_y
_atom_site_fract_z
Ag1 0.000 0.000 0.000
Ag2 0.000 0.000 0.500
Bi1 0.500 0.500 0.236
O1 0.000 0.500 0.206
O2 0.500 0.500 0.500
# Energy above the most stable polymorph in this dataset ... 0 meV per atom
# Total energy ... -4.725 eV per atom

***

# PrSm2Ge4Ir2Pd2 PBE relaxed
data_PrSm2Ge4Ir2Pd2
_chemical_formula_sum 'Pr2 Sm4 Ge8 Ir4 Pd4'
_symmetry_space_group_name_H-M 'I m m m'
_symmetry_Int_Tables_number 71
_symmetry_space_group_name_Hall '-I 2 2'
_cell_length_a 4.103
_cell_length_b 4.294
_cell_length_c 25.286
_cell_angle_alpha 90.00
_cell_angle_beta 90.00
_cell_angle_gamma 90.00
loop_
_atom_site_label
_atom_site_fract_x
_atom_site_fract_y
_atom_site_fract_z
Pr1 0.000 0.000 0.000
Sm1 0.000 0.500 0.148
Ge1 0.000 0.000 0.450
Ge2 0.000 0.500 0.304
Ir1 0.000 0.000 0.250
Pd1 0.000 0.500 0.401
# Total energy ... -6.402 eV per atom

***

# BaHoAsO PBE relaxed
data_BaHoAsO
_chemical_formula_sum 'Ba2 Ho2 As2 O2'
_symmetry_space_group_name_H-M 'P m c 21'
_symmetry_Int_Tables_number 26
_symmetry_space_group_name_Hall 'P 2c -2'
_cell_length_a 4.757
_cell_length_b 7.572
_cell_length_c 6.656
_cell_angle_alpha 90.00
_cell_angle_beta 90.00
_cell_angle_gamma 90.00
loop_
_atom_site_label
_atom_site_fract_x
_atom_site_fract_y
_atom_site_fract_z
Ba1 0.000 0.205 0.000
Ho1 0.500 0.389 0.594
As1 0.000 0.227 0.488
O1 0.500 0.373 0.920
# Energy above the most stable polymorph in this dataset ... 0 meV per atom
# Total energy ... -6.088 eV per atom

***

# LiLuFeS3 PBE relaxed
data_LiLuFeS3
_chemical_formula_sum 'Li4 Lu4 Fe4 S12'
_symmetry_space_group_name_H-M 'P n m a'
_symmetry_Int_Tables_number 62
_symmetry_space_group_name_Hall '-P 2ac 2n'
_cell_length_a 12.836
_cell_length_b 3.716
_cell_length_c 10.472
_cell_angle_alpha 90.00
_cell_angle_beta 90.00
_cell_angle_gamma 90.00
loop_
_atom_site_label
_atom_site_fract_x
_atom_site_fract_y
_atom_site_fract_z
Li1 0.226 0.250 0.177
Lu1 0.028 0.750 0.846
Fe1 0.019 0.250 0.583
S1 0.087 0.250 0.378
S2 0.107 0.750 0.077
S3 0.147 0.250 0.738
# Energy above the most stable polymorph in this dataset ... 8 meV per atom
# Total energy ... -5.797 eV per atom

***

# Li2B6Ir PBE relaxed
data_Li2B6Ir
_chemical_formula_sum 'Li8 B24 Ir4'
_symmetry_space_group_name_H-M 'P b a m'
_symmetry_Int_Tables_number 55
_symmetry_space_group_name_Hall '-P 2 2ab'
_cell_length_a 8.768
_cell_length_b 10.896
_cell_length_c 3.401
_cell_angle_alpha 90.00
_cell_angle_beta 90.00
_cell_angle_gamma 90.00
loop_
_atom_site_label
_atom_site_fract_x
_atom_site_fract_y
_atom_site_fract_z
Li1 0.057 0.132 0.000
Li2 0.173 0.413 0.000
B1 0.023 0.289 0.500
B2 0.054 0.562 0.500
B3 0.097 0.974 0.500
B4 0.130 0.820 0.500
B5 0.200 0.238 0.500
B6 0.241 0.079 0.500
Ir1 0.143 0.681 0.000
# Total energy ... -6.017 eV per atom

***

# BaTaNO PBE relaxed
data_BaTaNO
_chemical_formula_sum 'Ba4 Ta4 N4 O4'
_symmetry_space_group_name_H-M 'P c a 21'
_symmetry_Int_Tables_number 29
_symmetry_space_group_name_Hall 'P 2c -2ac'
_cell_length_a 5.594
_cell_length_b 8.673
_cell_length_c 5.878
_cell_angle_alpha 90.00
_cell_angle_beta 90.00
_cell_angle_gamma 90.00
loop_
_atom_site_label
_atom_site_fract_x
_atom_site_fract_y
_atom_site_fract_z
Ba1 0.034 0.150 0.000
Ta1 0.066 0.588 0.019
N1 0.110 0.581 0.351
O1 0.031 0.821 0.991
# Energy above the most stable polymorph in this dataset ... 86 meV per atom
# Total energy ... -8.240 eV per atom

***

- The lowest total energy belongs to which entry?
  BaTaNO